Record 1
Below is a relaxed structure of Tb3Cu3Sb4, with properties calculated at the GGA-PBEsol level.

```
Tb3Cu3Sb4
1.0
-4.725 4.725 4.725
4.725 -4.725 4.725
4.725 4.725 -4.725
Tb Cu Sb
6 6 8
Cartesian
7.088 1.181 0.000
3.544 0.000 2.363
2.363 3.544 0.000
0.000 2.363 3.544
1.181 0.000 7.088
0.000 7.088 1.181
4.725 -2.363 3.544
3.544 4.725 -2.363
4.725 2.363 1.181
2.363 1.181 4.725
1.181 4.725 2.363
-2.363 3.544 4.725
3.958 0.767 -0.767
6.321 -1.596 1.596
0.767 0.767 0.767
0.767 -0.767 3.958
-0.767 3.958 0.767
1.596 6.321 -1.596
3.130 3.130 3.130
-1.596 1.596 6.321
```

Calculated values
formation energy (no corrections) = -0.7835 eV per atom
electronic total energy = -5.410 eV per atom
density of states at the Fermi level = 1.02 states/eV per cell


Record 2
Below is a relaxed structure of Cu3TcSb, with properties calculated at the GGA-PBEsol level.

```
Cu3TcSb
1.0
4.634 0.000 0.000
0.000 4.634 0.000
0.000 0.000 4.634
Cu Tc Sb
3 1 1
Cartesian
0.000 0.000 2.317
0.000 2.317 0.000
2.317 0.000 0.000
2.317 2.317 2.317
0.000 0.000 0.000
```

Calculated values
formation energy (no corrections) = 1.4915 eV per atom
electronic total energy = -4.274 eV per atom
density of states at the Fermi level = 3.14 states/eV per cell


Record 3
Below is a relaxed structure of Cu2TcSb, with properties calculated at the GGA-PBEsol level.

```
Cu2TcSb
1.0
3.368 0.000 0.000
0.000 3.368 0.000
0.000 0.000 5.246
Cu Tc Sb
2 1 1
Cartesian
0.000 0.000 1.215
0.000 0.000 4.031
1.684 1.684 0.000
1.684 1.684 2.623
```

Calculated values
formation energy (no corrections) = 0.3744 eV per atom
electronic total energy = -5.749 eV per atom
density of states at the Fermi level = 4.19 states/eV per cell